{"formula": "YBeCu2", "functional": "PBE-GGA", "state": "relaxed", "dft_energy_ev_per_atom": -4.5653, "spacegroup": "Pm (6)", "lattice": [[3.788, 0.000, 0.000], [0.000, 3.346, 0.021], [0.000, 1.619, 5.180]], "species": ["Cu", "Cu", "Y", "Be"], "frac_coords": [[0.000, 0.812, 0.006], [0.500, 0.245, 0.138], [0.000, 0.540, 0.541], [0.500, 0.904, 0.815]]}



{"formula": "HfPH2Cl", "functional": "PBE-GGA", "state": "relaxed", "dft_energy_ev_per_atom": -4.4842, "spacegroup": "P4/mmm (123)", "lattice": [[3.862, 0.000, 0.000], [0.000, 4.976, 0.000], [0.000, 0.000, 3.862]], "species": ["Hf", "H", "P", "Cl", "H"], "frac_coords": [[0.000, 0.000, 0.000], [0.500, 0.000, 0.000], [0.500, 0.500, 0.500], [0.000, 0.500, 0.000], [0.000, 0.000, 0.500]]}



{"formula": "Li2La3Ag2Pb4", "functional": "PBE-GGA", "state": "relaxed", "dft_energy_ev_per_atom": -3.9074, "spacegroup": "P-3m1 (164)", "lattice": [[4.922, 0.000, 0.000], [-2.461, 4.263, 0.000], [0.000, 0.000, 15.048]], "species": ["Pb", "Pb", "La", "Li", "La", "Ag", "Ag", "Li", "La", "Pb", "Pb"], "frac_coords": [[0.333, 0.667, 0.376], [0.667, 0.333, 0.122], [0.000, 0.000, 0.000], [0.667, 0.333, 0.437], [0.000, 0.000, 0.271], [0.333, 0.667, 0.161], [0.667, 0.333, 0.839], [0.333, 0.667, 0.563], [0.000, 0.000, 0.729], [0.333, 0.667, 0.878], [0.667, 0.333, 0.624]]}